Ge4I2Br5: relaxed, PBE-GGA.

Calculated values
The density of states at the Fermi level is 3.0 states/eV/cell. For the energy relative to the elements, uncorrected, the calculation gives -0.26 eV per atom. As for the raw total energy: -32.80 eV per cell.

```
Ge4I2Br5
1.0
7.655 0.000 0.000
3.827 6.639 -0.696
3.827 0.831 7.406
Ge I Br
4 2 5
Cartesian
7.655 6.633 1.222
7.655 0.837 5.488
11.482 4.598 5.880
3.827 2.872 0.829
7.655 6.026 3.759
7.655 1.444 2.950
5.772 2.467 6.418
9.537 5.003 0.291
3.827 3.735 3.355
9.537 2.467 6.418
5.772 5.003 0.291
```